# 1
The following is a DFT calculation (meta-GGA SCAN) of a PBEsol-optimized structure of ZnAsS2N.

- Crystal system: tetragonal
- Raw formation energy: 923.3 meV per atom

POSCAR file:
```
ZnAsS2N
1.0
3.662 0.000 0.000
0.000 4.732 0.000
0.000 0.000 4.732
S As Zn N
2 1 1 1
direct
0.000 0.000 0.500
0.000 0.500 0.000
0.500 0.500 0.500
0.000 0.000 0.000
0.500 0.000 0.000
```

***

# 2
The following is a DFT calculation (meta-GGA SCAN) of a PBEsol-optimized structure of LiNbCd2B.

- Crystal system: tetragonal
- Energy of formation: 0.7942 eV per atom

POSCAR file:
```
LiNbCd2B
1.0
-3.031 -1.044 2.699
-1.279 -3.245 -2.691
2.760 -2.770 2.028
Nb B Li Cd
1 1 1 2
direct
0.500 0.500 0.500
0.000 0.000 0.000
0.500 0.000 0.000
0.000 0.000 0.500
0.000 0.500 0.000
```